Computed, not measured: BaSrPt at its PBEsol-relaxed geometry at the SCAN level of DFT.

Properties
symmetry = No. 156
ΔE_f = -208 kJ/mol of formula units
magnetic moment = 0.0 μB per cell
DFT total energy = -134.178 eV/f.u.
mass density = 5.8 g/cm³

Cell lengths 4.438, 4.438, 7.077 Å; angles 90.00, 90.00, 120.00 degrees
Positions (direct):
Sr (0.667, 0.333, 0.441)
Ba (0.000, 0.000, 0.899)
Pt (0.333, 0.667, 0.659)